Run i
! TiHgTe (PBE, relaxed); values from VASP
&SYSTEM
  ibrav = 0, nat = 6, ntyp = 3
/
ATOMIC_SPECIES
Ti 47.87 Ti.upf
Hg 200.59 Hg.upf
Te 127.60 Te.upf
CELL_PARAMETERS angstrom
-1.903 -3.106 0.528
3.044 -0.036 -2.069
6.986 -2.526 10.321
ATOMIC_POSITIONS crystal
Ti 0.000 0.000 0.000
Ti 0.333 0.667 0.500
Hg 0.000 0.000 0.346
Hg 0.000 0.000 0.654
Te 0.333 0.667 0.860
Te 0.333 0.667 0.140
! Theoretical density   8.37 g cm⁻³

Run ii
! TiHgTe (PBE, relaxed); values from VASP
&SYSTEM
  ibrav = 0, nat = 6, ntyp = 3
/
ATOMIC_SPECIES
Te 127.60 Te.upf
Hg 200.59 Hg.upf
Ti 47.87 Ti.upf
CELL_PARAMETERS angstrom
5.245 0.000 0.000
0.000 3.814 0.000
-2.611 0.000 7.929
ATOMIC_POSITIONS crystal
Te 0.337 0.250 0.175
Te 0.663 0.750 0.825
Hg 0.074 0.250 0.645
Hg 0.926 0.750 0.355
Ti 0.788 0.250 0.077
Ti 0.212 0.750 0.923
! Theoretical density   7.87 g cm⁻³

Run iii
! TiHgTe (PBE, relaxed); values from VASP
&SYSTEM
  ibrav = 0, nat = 6, ntyp = 3
/
ATOMIC_SPECIES
Te 127.60 Te.upf
Hg 200.59 Hg.upf
Ti 47.87 Ti.upf
CELL_PARAMETERS angstrom
-3.321 -2.594 -1.904
4.966 -8.386 2.762
-1.865 -0.023 3.283
ATOMIC_POSITIONS crystal
Te 0.000 0.170 0.500
Te 0.500 0.830 0.000
Hg 0.000 0.576 0.500
Hg 0.500 0.424 0.000
Ti 0.000 0.968 0.000
Ti 0.500 0.032 0.500
! Theoretical density   7.06 g cm⁻³

Run iv
! TiHgTe (PBE, relaxed); values from VASP
&SYSTEM
  ibrav = 0, nat = 9, ntyp = 3
/
ATOMIC_SPECIES
Te 127.60 Te.upf
Hg 200.59 Hg.upf
Ti 47.87 Ti.upf
CELL_PARAMETERS angstrom
3.608 0.000 0.000
-1.804 3.125 0.000
0.000 0.000 20.194
ATOMIC_POSITIONS crystal
Te 0.000 0.000 0.156
Te 0.333 0.667 0.822
Te 0.667 0.333 0.489
Hg 0.000 0.000 0.305
Hg 0.333 0.667 0.971
Hg 0.667 0.333 0.638
Ti 0.000 0.000 0.736
Ti 0.333 0.667 0.403
Ti 0.667 0.333 0.070
! Theoretical density   8.23 g cm⁻³

Most stable: run ii

Run i
! TiHgTe3 (PBE, relaxed); values from VASP
&SYSTEM
  ibrav = 0, nat = 5, ntyp = 3
/
ATOMIC_SPECIES
Te 127.60 Te.upf
Hg 200.59 Hg.upf
Ti 47.87 Ti.upf
CELL_PARAMETERS angstrom
5.530 0.000 0.000
0.000 5.530 0.000
0.000 0.000 5.530
ATOMIC_POSITIONS crystal
Te 0.000 0.500 0.000
Te 0.000 0.000 0.500
Te 0.500 0.000 0.000
Hg 0.000 0.000 0.000
Ti 0.500 0.500 0.500
! Theoretical density   6.20 g cm⁻³

Run ii
! TiHgTe3 (PBE, relaxed); values from VASP
&SYSTEM
  ibrav = 0, nat = 5, ntyp = 3
/
ATOMIC_SPECIES
Te 127.60 Te.upf
Hg 200.59 Hg.upf
Ti 47.87 Ti.upf
CELL_PARAMETERS angstrom
-2.873 4.026 2.095
-3.178 -0.014 -4.331
-3.240 -3.556 2.389
ATOMIC_POSITIONS crystal
Te 0.000 0.500 0.000
Te 0.000 0.000 0.500
Te 0.500 0.000 0.000
Hg 0.500 0.500 0.500
Ti 0.000 0.000 0.000
! Theoretical density   6.76 g cm⁻³

Most stable: run ii

Run i
! TlHg2Te (PBE, relaxed); values from VASP
&SYSTEM
  ibrav = 0, nat = 4, ntyp = 3
/
ATOMIC_SPECIES
Tl 204.38 Tl.upf
Hg 200.59 Hg.upf
Te 127.60 Te.upf
CELL_PARAMETERS angstrom
4.100 -0.879 2.092
0.162 4.188 2.092
0.120 0.093 7.638
ATOMIC_POSITIONS crystal
Tl 0.660 0.333 0.528
Hg 0.384 0.057 0.040
Hg 0.932 0.606 0.016
Te 0.161 0.833 0.528
! Theoretical density   9.35 g cm⁻³

Run ii
! TlHg2Te (PBE, relaxed); values from VASP
&SYSTEM
  ibrav = 0, nat = 4, ntyp = 3
/
ATOMIC_SPECIES
Tl 204.38 Tl.upf
Te 127.60 Te.upf
Hg 200.59 Hg.upf
CELL_PARAMETERS angstrom
0.000 3.899 3.899
3.899 0.000 3.899
3.899 3.899 0.000
ATOMIC_POSITIONS crystal
Tl 0.500 0.500 0.500
Te 0.000 0.000 0.000
Hg 0.250 0.250 0.250
Hg 0.750 0.750 0.750
! Theoretical density   10.27 g cm⁻³

Run iii
! TlHg2Te (PBE, relaxed); values from VASP
&SYSTEM
  ibrav = 0, nat = 4, ntyp = 3
/
ATOMIC_SPECIES
Hg 200.59 Hg.upf
Te 127.60 Te.upf
Tl 204.38 Tl.upf
CELL_PARAMETERS angstrom
-1.473 -11.447 3.878
1.851 -11.242 4.292
-0.210 -10.158 6.708
ATOMIC_POSITIONS crystal
Hg 0.003 0.003 0.003
Hg 0.497 0.497 0.497
Te 0.250 0.250 0.250
Tl 0.750 0.750 0.750
! Theoretical density   10.38 g cm⁻³

Run iv
! TlHg2Te (PBE, relaxed); values from VASP
&SYSTEM
  ibrav = 0, nat = 4, ntyp = 3
/
ATOMIC_SPECIES
Hg 200.59 Hg.upf
Te 127.60 Te.upf
Tl 204.38 Tl.upf
CELL_PARAMETERS angstrom
-0.553 -2.232 6.710
5.226 -1.676 4.493
-2.326 4.890 -4.582
ATOMIC_POSITIONS crystal
Hg 0.996 0.996 0.000
Hg 0.286 0.786 0.500
Te 0.504 0.504 0.000
Tl 0.714 0.214 0.500
! Theoretical density   9.89 g cm⁻³

Most stable: run i

Run i
! TlHg2Te (PBE, relaxed); values from VASP
&SYSTEM
  ibrav = 0, nat = 4, ntyp = 3
/
ATOMIC_SPECIES
Tl 204.38 Tl.upf
Te 127.60 Te.upf
Hg 200.59 Hg.upf
CELL_PARAMETERS angstrom
5.504 -0.027 -0.047
0.018 5.504 -0.047
-2.794 -2.771 4.001
ATOMIC_POSITIONS crystal
Tl 0.748 0.252 0.500
Te 0.503 0.497 0.000
Hg 0.999 0.001 0.000
Hg 0.250 0.750 0.500
! Theoretical density   10.16 g cm⁻³

Run ii
! TlHg2Te (PBE, relaxed); values from VASP
&SYSTEM
  ibrav = 0, nat = 4, ntyp = 3
/
ATOMIC_SPECIES
Hg 200.59 Hg.upf
Te 127.60 Te.upf
Tl 204.38 Tl.upf
CELL_PARAMETERS angstrom
3.382 0.038 0.000
-0.041 3.382 0.000
0.000 0.000 10.718
ATOMIC_POSITIONS crystal
Hg 0.000 0.000 0.007
Hg 0.500 0.500 0.234
Te 0.000 0.000 0.511
Tl 0.500 0.500 0.748
! Theoretical density   9.93 g cm⁻³

Run iii
! TlHg2Te (PBE, relaxed); values from VASP
&SYSTEM
  ibrav = 0, nat = 4, ntyp = 3
/
ATOMIC_SPECIES
Hg 200.59 Hg.upf
Te 127.60 Te.upf
Tl 204.38 Tl.upf
CELL_PARAMETERS angstrom
-0.828 -0.310 -3.557
0.046 -3.652 0.308
-8.452 0.059 1.962
ATOMIC_POSITIONS crystal
Hg 0.000 0.000 0.999
Hg 0.000 0.000 0.501
Te 0.500 0.500 0.250
Tl 0.500 0.500 0.750
! Theoretical density   10.44 g cm⁻³

Most stable: run i

Run i
! TlHg2Te (PBE, relaxed); values from VASP
&SYSTEM
  ibrav = 0, nat = 4, ntyp = 3
/
ATOMIC_SPECIES
Hg 200.59 Hg.upf
Te 127.60 Te.upf
Tl 204.38 Tl.upf
CELL_PARAMETERS angstrom
12.017 0.011 0.006
11.506 3.466 0.006
11.506 1.700 3.020
ATOMIC_POSITIONS crystal
Hg 0.001 0.001 0.001
Hg 0.252 0.252 0.252
Te 0.495 0.495 0.495
Tl 0.753 0.753 0.753
! Theoretical density   9.73 g cm⁻³

Run ii
! TlHg2Te (PBE, relaxed); values from VASP
&SYSTEM
  ibrav = 0, nat = 4, ntyp = 3
/
ATOMIC_SPECIES
Hg 200.59 Hg.upf
Te 127.60 Te.upf
Tl 204.38 Tl.upf
CELL_PARAMETERS angstrom
-3.051 0.734 0.992
-0.608 -4.730 1.627
2.545 1.886 6.433
ATOMIC_POSITIONS crystal
Hg 0.000 0.000 0.004
Hg 0.000 0.000 0.496
Te 0.500 0.500 0.250
Tl 0.500 0.500 0.750
! Theoretical density   10.24 g cm⁻³

Most stable: run ii

Run i
! TlHg2Te (PBE, relaxed); values from VASP
&SYSTEM
  ibrav = 0, nat = 8, ntyp = 3
/
ATOMIC_SPECIES
Tl 204.38 Tl.upf
Te 127.60 Te.upf
Hg 200.59 Hg.upf
CELL_PARAMETERS angstrom
-5.773 5.326 3.139
0.288 -4.059 7.416
-0.240 2.728 6.326
ATOMIC_POSITIONS crystal
Tl 0.000 0.000 0.000
Tl 0.750 0.250 0.500
Te 0.500 0.500 0.000
Te 0.250 0.750 0.500
Hg 0.612 0.125 0.250
Hg 0.138 0.625 0.250
Hg 0.375 0.388 0.750
Hg 0.875 0.862 0.750
! Theoretical density   9.93 g cm⁻³

Run ii
! TlHg2Te (PBE, relaxed); values from VASP
&SYSTEM
  ibrav = 0, nat = 4, ntyp = 3
/
ATOMIC_SPECIES
Hg 200.59 Hg.upf
Te 127.60 Te.upf
Tl 204.38 Tl.upf
CELL_PARAMETERS angstrom
-4.239 -2.421 2.551
-0.477 -1.920 -2.614
4.079 -4.556 2.453
ATOMIC_POSITIONS crystal
Hg 0.000 0.202 0.990
Hg 0.000 0.298 0.510
Te 0.500 0.250 0.250
Tl 0.500 0.750 0.750
! Theoretical density   10.23 g cm⁻³

Run iii
! TlHg2Te (PBE, relaxed); values from VASP
&SYSTEM
  ibrav = 0, nat = 4, ntyp = 3
/
ATOMIC_SPECIES
Hg 200.59 Hg.upf
Te 127.60 Te.upf
Tl 204.38 Tl.upf
CELL_PARAMETERS angstrom
6.568 0.081 0.216
5.689 3.284 0.216
1.781 0.489 5.769
ATOMIC_POSITIONS crystal
Hg 0.006 0.006 0.063
Hg 0.257 0.257 0.182
Te 0.493 0.493 0.564
Tl 0.743 0.743 0.690
! Theoretical density   10.11 g cm⁻³

Most stable: run ii

Run i
! TlHg2Te (PBE, relaxed); values from VASP
&SYSTEM
  ibrav = 0, nat = 4, ntyp = 3
/
ATOMIC_SPECIES
Hg 200.59 Hg.upf
Te 127.60 Te.upf
Tl 204.38 Tl.upf
CELL_PARAMETERS angstrom
-0.826 -2.664 -5.458
-0.293 -2.955 1.487
-6.356 -1.605 1.745
ATOMIC_POSITIONS crystal
Hg 0.000 0.879 0.123
Hg 0.500 0.364 0.127
Te 0.000 0.380 0.623
Tl 0.500 0.877 0.627
! Theoretical density   9.66 g cm⁻³

Run ii
! TlHg2Te (PBE, relaxed); values from VASP
&SYSTEM
  ibrav = 0, nat = 4, ntyp = 3
/
ATOMIC_SPECIES
Hg 200.59 Hg.upf
Te 127.60 Te.upf
Tl 204.38 Tl.upf
CELL_PARAMETERS angstrom
-6.178 -0.162 2.911
0.507 -0.752 -6.771
-0.983 -3.118 -0.489
ATOMIC_POSITIONS crystal
Hg 0.000 0.000 0.000
Hg 0.500 0.500 0.000
Te 0.500 0.000 0.500
Tl 0.000 0.500 0.500
! Theoretical density   10.12 g cm⁻³

Most stable: run i

Run i
! TlHg2Te (PBE, relaxed); values from VASP
&SYSTEM
  ibrav = 0, nat = 4, ntyp = 3
/
ATOMIC_SPECIES
Tl 204.38 Tl.upf
Hg 200.59 Hg.upf
Te 127.60 Te.upf
CELL_PARAMETERS angstrom
4.894 0.000 0.000
2.447 4.239 0.000
2.447 1.413 6.285
ATOMIC_POSITIONS crystal
Tl 0.493 0.493 0.522
Hg 0.077 0.077 0.769
Hg 0.256 0.256 0.232
Te 0.674 0.674 0.977
! Theoretical density   9.34 g cm⁻³

Run ii
! TlHg2Te (PBE, relaxed); values from VASP
&SYSTEM
  ibrav = 0, nat = 4, ntyp = 3
/
ATOMIC_SPECIES
Hg 200.59 Hg.upf
Te 127.60 Te.upf
Tl 204.38 Tl.upf
CELL_PARAMETERS angstrom
3.255 0.082 0.000
-0.814 3.153 0.000
0.000 0.000 11.227
ATOMIC_POSITIONS crystal
Hg 0.000 0.000 0.997
Hg 0.000 0.000 0.503
Te 0.500 0.500 0.250
Tl 0.500 0.500 0.750
! Theoretical density   10.50 g cm⁻³

Run iii
! TlHg2Te (PBE, relaxed); values from VASP
&SYSTEM
  ibrav = 0, nat = 4, ntyp = 3
/
ATOMIC_SPECIES
Hg 200.59 Hg.upf
Te 127.60 Te.upf
Tl 204.38 Tl.upf
CELL_PARAMETERS angstrom
-3.330 0.893 3.689
-3.637 -2.156 -2.761
0.990 -4.079 1.881
ATOMIC_POSITIONS crystal
Hg 0.000 0.000 0.000
Hg 0.500 0.500 0.000
Te 0.500 0.000 0.500
Tl 0.000 0.500 0.500
! Theoretical density   10.38 g cm⁻³

Most stable: run i

Run i
! Tl4HgTe (PBE, relaxed); values from VASP
&SYSTEM
  ibrav = 0, nat = 6, ntyp = 3
/
ATOMIC_SPECIES
Tl 204.38 Tl.upf
Hg 200.59 Hg.upf
Te 127.60 Te.upf
CELL_PARAMETERS angstrom
-2.181 -1.695 -3.598
2.680 -4.985 3.531
-7.303 -0.134 1.630
ATOMIC_POSITIONS crystal
Tl 0.608 0.256 0.793
Tl 0.187 0.697 0.072
Tl 0.308 0.289 0.424
Tl 0.909 0.785 0.713
Hg 0.576 0.805 0.400
Te 0.912 0.169 0.098
! Theoretical density   9.51 g cm⁻³

Run ii
! Tl4HgTe (PBE, relaxed); values from VASP
&SYSTEM
  ibrav = 0, nat = 6, ntyp = 3
/
ATOMIC_SPECIES
Tl 204.38 Tl.upf
Hg 200.59 Hg.upf
Te 127.60 Te.upf
CELL_PARAMETERS angstrom
-3.133 2.418 5.245
-6.007 -2.178 1.531
-0.876 -3.753 5.322
ATOMIC_POSITIONS crystal
Tl 0.876 0.375 0.375
Tl 0.375 0.375 0.876
Tl 0.375 0.876 0.375
Tl 0.375 0.375 0.375
Hg 0.750 0.750 0.750
Te 0.000 0.000 0.000
! Theoretical density   9.48 g cm⁻³

Most stable: run i

Run i
! TlHgTe (PBE, relaxed); values from VASP
&SYSTEM
  ibrav = 0, nat = 6, ntyp = 3
/
ATOMIC_SPECIES
Tl 204.38 Tl.upf
Hg 200.59 Hg.upf
Te 127.60 Te.upf
CELL_PARAMETERS angstrom
-4.202 -1.450 1.227
0.107 1.540 -6.487
4.435 -5.779 -0.317
ATOMIC_POSITIONS crystal
Tl 0.011 0.810 0.443
Tl 0.569 0.253 0.118
Hg 0.715 0.828 0.834
Hg 0.866 0.235 0.728
Te 0.321 0.366 0.507
Te 0.260 0.697 0.054
! Theoretical density   9.21 g cm⁻³

Run ii
! TlHgTe (PBE, relaxed); values from VASP
&SYSTEM
  ibrav = 0, nat = 3, ntyp = 3
/
ATOMIC_SPECIES
Hg 200.59 Hg.upf
Te 127.60 Te.upf
Tl 204.38 Tl.upf
CELL_PARAMETERS angstrom
8.587 -0.011 0.012
7.855 3.387 -0.051
0.733 0.054 3.399
ATOMIC_POSITIONS crystal
Hg 0.002 0.002 0.998
Te 0.320 0.320 0.680
Tl 0.678 0.678 0.322
! Theoretical density   8.92 g cm⁻³

Most stable: run i

Run i
! TlHgTe (PBE, relaxed); values from VASP
&SYSTEM
  ibrav = 0, nat = 3, ntyp = 3
/
ATOMIC_SPECIES
Hg 200.59 Hg.upf
Te 127.60 Te.upf
Tl 204.38 Tl.upf
CELL_PARAMETERS angstrom
7.217 0.273 -0.116
4.926 5.282 0.116
-5.682 -3.629 2.592
ATOMIC_POSITIONS crystal
Hg 0.000 0.000 0.000
Te 0.328 0.328 0.000
Tl 0.672 0.672 0.000
! Theoretical density   9.14 g cm⁻³

Run ii
! TlHgTe (PBE, relaxed); values from VASP
&SYSTEM
  ibrav = 0, nat = 3, ntyp = 3
/
ATOMIC_SPECIES
Hg 200.59 Hg.upf
Te 127.60 Te.upf
Tl 204.38 Tl.upf
CELL_PARAMETERS angstrom
-0.488 -0.206 5.744
-3.209 -3.483 -3.294
2.317 -2.245 0.116
ATOMIC_POSITIONS crystal
Hg 0.000 0.000 0.169
Te 0.667 0.333 0.171
Tl 0.333 0.667 0.660
! Theoretical density   9.50 g cm⁻³

Run iii
! TlHgTe (PBE, relaxed); values from VASP
&SYSTEM
  ibrav = 0, nat = 3, ntyp = 3
/
ATOMIC_SPECIES
Tl 204.38 Tl.upf
Hg 200.59 Hg.upf
Te 127.60 Te.upf
CELL_PARAMETERS angstrom
5.782 -0.009 0.008
0.014 4.459 -1.201
0.008 1.186 4.463
ATOMIC_POSITIONS crystal
Tl 0.170 0.806 0.585
Hg 0.494 0.305 0.085
Te 0.985 0.306 0.085
! Theoretical density   7.17 g cm⁻³

Most stable: run iii